The following is a DFT calculation (PBE) of an optimized crystal structure of La3Si2Ni2.

Unit cell a=5.693 b=8.125 c=12.930 alpha=90.00 beta=90.00 gamma=90.00
Space group Pbcm (No. 57)
Unique sites:
La (0.138, 0.110, 0.098) x8
La (0.337, 0.740, 0.750) x4
Si (0.182, 0.093, 0.750) x4
Si (0.368, 0.750, 0.000) x4
Ni (0.391, 0.036, 0.589) x8

The following is a DFT calculation (PBE) of an optimized crystal structure of La12SiNi6.

Unit cell a=10.137 b=10.137 c=10.137 alpha=90.00 beta=90.00 gamma=90.00
Space group Im-3 (No. 204)
Unique sites:
La (0.000, 0.179, 0.307) x24
Si (0.000, 0.000, 0.000) x2
Ni (0.000, 0.373, 0.500) x12

The following is a DFT calculation (PBE) of an optimized crystal structure of LaSi4Ni4.

Unit cell a=7.909 b=7.909 c=4.344 alpha=90.00 beta=90.00 gamma=90.00
Space group I4/m (No. 87)
Unique sites:
La (0.000, 0.000, 0.000) x2
Si (0.110, 0.621, 0.500) x8
Ni (0.173, 0.313, 0.500) x8

Number 1: E_form (uncorrected) -0.63 eV/atom, total DFT energy (no corrections) -0.2183 hartree per atom. Number 2: E_form (uncorrected) -0.28 eV/atom, total DFT energy (no corrections) -0.2022 hartree per atom. Number 3: E_form (uncorrected) -0.59 eV/atom, total DFT energy (no corrections) -0.2247 hartree per atom.